No. 1
Here is a relaxed structure of KPa2Ag2S6 from Alexandria. Energies are from GGA-PBE.

Output
Symmetry   P-1
Magnetization   1.11 μB per formula unit
Formation energy without anion corrections   -111 kJ/mol of atoms
DOS at the Fermi energy   7.11 states/eV/f.u.
Raw total energy   -63.2 eV for the cell shown

Unit cell a=7.2147 b=7.8786 c=8.0861 alpha=125.04 beta=91.72 gamma=60.12
Each line ends with the local moment (μB).
Positions (direct):
S  0.7922  0.1643  0.4430  -0.02
S  0.0299  0.5464  0.8253  -0.02
S  0.9701  0.4536  0.1747  -0.02
S  0.5903  0.2155  0.9340  -0.02
S  0.4097  0.7845  0.0660  -0.02
S  0.2078  0.8357  0.5570  -0.02
Ag  0.2096  0.7414  0.7983  0.00
Ag  0.7904  0.2586  0.2017  0.00
Pa  0.8337  0.3357  0.8347  0.56
Pa  0.1663  0.6643  0.1653  0.56
K  0.5000  0.0000  0.5000  0.00

---

No. 2
Here is a relaxed structure of CaNdSi2 from Alexandria. Energies are from GGA-PBE.

Output
Symmetry   Pmc2_1
Magnetization   0.00 μB per formula unit
Formation energy without anion corrections   -61 kJ/mol of atoms
DOS at the Fermi energy   2.74 states/eV/f.u.
Raw total energy   -40.3 eV for the cell shown

Unit cell a=3.9019 b=5.8639 c=8.3139 alpha=90.00 beta=90.00 gamma=90.00
Positions (direct):
Ca  0.5000  0.6390  0.8207
Ca  0.5000  0.3610  0.3207
Nd  0.0000  0.8583  0.1801
Nd  0.0000  0.1417  0.6801
Si  0.0000  0.6346  0.5342
Si  0.0000  0.3654  0.0342
Si  0.5000  0.8743  0.4650
Si  0.5000  0.1257  0.9650

---

No. 3
Here is a relaxed structure of Li2Ti3ZnO8 from Alexandria. Energies are from GGA-PBE.

Output
Symmetry   P2_13
Magnetization   0.00 μB per formula unit
Formation energy without anion corrections   -256 kJ/mol of atoms
DOS at the Fermi energy   0.00 states/eV/f.u.
Raw total energy   -422.5 eV for the cell shown

Unit cell a=8.4512 b=8.4512 c=8.4512 alpha=90.00 beta=90.00 gamma=90.00
Positions (direct):
O  0.8720  0.8897  0.3933
O  0.1447  0.8584  0.1229
O  0.6390  0.1390  0.3610
O  0.8553  0.3584  0.3771
O  0.3880  0.3880  0.3880
O  0.1120  0.6120  0.8880
O  0.1280  0.3897  0.1067
O  0.1416  0.6229  0.3553
O  0.3897  0.1067  0.1280
O  0.3933  0.8720  0.8897
O  0.1067  0.1280  0.3897
O  0.8933  0.6280  0.1103
O  0.6229  0.3553  0.1416
O  0.1229  0.1447  0.8584
O  0.3610  0.6390  0.1390
O  0.6416  0.8771  0.6447
O  0.8584  0.1229  0.1447
O  0.3553  0.1416  0.6229
O  0.6067  0.3720  0.6103
O  0.8771  0.6447  0.6416
O  0.3771  0.8553  0.3584
O  0.6120  0.8880  0.1120
O  0.1390  0.3610  0.6390
O  0.8610  0.8610  0.8610
O  0.8880  0.1120  0.6120
O  0.3584  0.3771  0.8553
O  0.6280  0.1103  0.8933
O  0.1103  0.8933  0.6280
O  0.6447  0.6416  0.8771
O  0.8897  0.3933  0.8720
O  0.6103  0.6067  0.3720
O  0.3720  0.6103  0.6067
Li  0.1244  0.8756  0.3756
Li  0.6244  0.6244  0.6244
Li  0.3756  0.1244  0.8756
Li  0.8756  0.3756  0.1244
Li  0.0025  0.4975  0.5025
Li  0.9975  0.9975  0.9975
Li  0.4975  0.5025  0.0025
Li  0.5025  0.0025  0.4975
Zn  0.7474  0.7526  0.2474
Zn  0.2526  0.2526  0.2526
Zn  0.2474  0.7474  0.7526
Zn  0.7526  0.2474  0.7474
Ti  0.8793  0.1274  0.3652
Ti  0.3793  0.3726  0.6348
Ti  0.6207  0.8726  0.8652
Ti  0.6348  0.3793  0.3726
Ti  0.1274  0.3652  0.8793
Ti  0.6274  0.1348  0.1207
Ti  0.1207  0.6274  0.1348
Ti  0.3726  0.6348  0.3793
Ti  0.3652  0.8793  0.1274
Ti  0.8726  0.8652  0.6207
Ti  0.1348  0.1207  0.6274
Ti  0.8652  0.6207  0.8726

---

No. 4
Here is a relaxed structure of Na2Sn4Pb from Alexandria. Energies are from GGA-PBE.

Output
Calculated formation energy   -0.065 eV per atom
Symmetry   C2
Magnetization   0.00 μB per formula unit
DOS at the Fermi energy   1.87 states/eV/f.u.
Raw total energy   -22.8 eV for the cell shown

Unit cell a=6.2852 b=6.8128 c=6.8128 alpha=98.32 beta=62.66 gamma=62.66
Positions (direct):
Sn  0.5023  0.4973  0.9988
Sn  0.9983  0.5025  0.0011
Sn  0.4977  0.0012  0.5027
Sn  0.0017  0.9989  0.4975
Na  0.0000  0.4999  0.5001
Na  0.5000  0.4999  0.5001
Pb  0.0000  0.0004  0.9996

---

No. 5
Here is a relaxed structure of SnMoPt2Br from Alexandria. Energies are from GGA-PBE.

Output
Symmetry   P4/mmm
Magnetization   4.54 μB per formula unit
Formation energy without anion corrections   116 kJ/mol of atoms
DOS at the Fermi energy   4.43 states/eV/f.u.
Raw total energy   -22.6 eV for the cell shown

Unit cell a=4.9744 b=5.4901 c=4.9744 alpha=90.00 beta=90.00 gamma=90.00
Each line ends with the local moment (μB).
Positions (direct):
Pt  0.0000  0.0000  0.5000  -0.02
Pt  0.5000  0.0000  0.0000  0.02
Mo  0.5000  0.5000  0.5000  3.73
Br  0.0000  0.5000  0.0000  0.00
Sn  0.0000  0.0000  0.0000  0.00

---

No. 6
Here is a relaxed structure of CrTeAu2 from Alexandria. Energies are from GGA-PBE.

Output
Symmetry   F-43m
Magnetization   4.01 μB per formula unit
Formation energy without anion corrections   25 kJ/mol of atoms
DOS at the Fermi energy   2.26 states/eV/f.u.
Raw total energy   -18.3 eV for the cell shown

Unit cell a=4.8288 b=4.8288 c=4.8288 alpha=60.00 beta=60.00 gamma=60.00
Each line ends with the local moment (μB).
Positions (direct):
Cr  0.5000  0.5000  0.5000  3.65
Au  0.0000  0.0000  0.0000  0.03
Au  0.2500  0.2500  0.2500  0.00
Te  0.7500  0.7500  0.7500  -0.07

---

> Which of these has the lowest raw total energy?

Li2Ti3ZnO8

---

> What is the formula in the fifth record?

SnMoPt2Br

---

> Which formula does entry 3 have?

Li2Ti3ZnO8